# 1
Ce2Ga8Ag | GGA-PBE | optimized geometry

POSCAR file:
```
Ce2Ga8Ag
1.0
4.4265 0.0000 0.0000
0.0000 4.4265 0.0000
0.0000 0.0000 11.3838
Ce Ga Ag
2 8 1
Cartesian
0.0000 0.0000 2.1408
0.0000 0.0000 9.2430
0.0000 2.2132 0.0000
0.0000 2.2132 4.1905
0.0000 2.2132 7.1934
2.2132 0.0000 0.0000
2.2132 0.0000 4.1905
2.2132 0.0000 7.1934
2.2132 2.2132 2.1506
2.2132 2.2132 9.2333
0.0000 0.0000 5.6919
```

Output
Size of the total moment = 0.9 Bohr magnetons per cell
Raw total energy = -3.913 eV per atom

=====

# 2
LaSm3Y2S6 | GGA-PBE | optimized geometry

POSCAR file:
```
LaSm3Y2S6
1.0
3.4654 -6.0190 0.0000
3.4654 6.0190 0.0000
-2.3229 0.0000 6.5264
La Sm Y S
1 3 2 6
Cartesian
0.0000 0.0000 0.0000
2.3040 4.0590 3.2632
2.3040 0.0000 3.2632
2.3040 -4.0590 3.2632
3.4654 2.0103 0.0000
3.4654 -2.0103 0.0000
1.1891 2.0695 1.6230
0.0653 0.0000 4.9313
1.1891 -2.0695 1.6230
3.4189 2.0695 4.9034
4.5426 0.0000 1.5951
3.4189 -2.0695 4.9034
```

Output
Raw formation energy = -2.04 eV per atom
Size of the total moment = 0.0 Bohr magnetons per cell

=====

# 3
CuPbAu | GGA-PBE | optimized geometry

POSCAR file:
```
CuPbAu
1.0
-1.7190 1.7190 5.1851
1.7190 -1.7190 5.1851
1.7190 1.7190 -5.1851
Cu Pb Au
1 1 1
Cartesian
0.0000 0.0000 0.0000
0.0000 0.0000 3.2108
0.0000 0.0000 6.2996
```

Output
Size of the total moment = 0.0 Bohr magnetons per cell
Energy above the most stable polymorph in this dataset = 29.5 kJ/mol of formula units